[1]
A plane-wave DFT calculation with GGA-PBE was carried out for a relaxed KDyRe2O8 crystal.

Cell: 6.0146 6.0146 7.5961 Å, 90.00 90.00 120.00°
With the nearest neighbours (Å) after each atom.
Fractional positions:
Re1 0.3333 0.6667 0.7645  4 O 1.76-1.81
Re2 0.6667 0.3333 0.2355  4 O 1.76-1.81
O1 0.6601 0.8297 0.6830  1 Re 1.81
O2 0.1696 0.3399 0.6830  1 Re 1.81
O3 0.8304 0.6601 0.3170  1 Re 1.81
O4 0.3333 0.6667 0.9967  1 Re 1.76
O5 0.1703 0.8304 0.6830  1 Re 1.81
O6 0.6667 0.3333 0.0033  1 Re 1.76
O7 0.3399 0.1703 0.3170  1 Re 1.81
O8 0.8297 0.1696 0.3170  1 Re 1.81
Dy1 0.0000 0.0000 0.5000  6 O 2.25
K1 0.0000 0.0000 0.0000  6 O 2.99

## Properties
Formation energy without anion corrections   -2.00 eV per atom
Calculated volume   19.831 Å³ per atom

***

[2]
A plane-wave DFT calculation with GGA-PBE was carried out for a relaxed KDyReO6 crystal.

Cell: 5.8002 5.7626 5.6167 Å, 86.86 88.44 60.21°
With the nearest neighbours (Å) after each atom.
Fractional positions:
K1 0.0054 0.9973 0.9999  6 O 2.80-3.09
O1 0.3780 0.5858 0.3008  1 Re 1.89
O2 0.5779 0.3641 0.7060  1 Re 1.84
O3 0.3781 0.0361 0.6992  1 Re 1.89
O4 0.5779 0.0580 0.2940  1 Re 1.84
O5 0.0389 0.5739 0.6653  1 Re 1.97, 1 O 2.20
O6 0.0389 0.3871 0.3347  1 Re 1.97, 1 O 2.20
Re1 0.3639 0.3181 0.5000  6 O 1.84-1.97
Dy1 0.6408 0.6796 0.4999  6 O 2.20-2.29

## Properties
Formation energy without anion corrections   -2.00 eV per atom
Calculated volume   18.077 Å³ per atom

***

[3]
A plane-wave DFT calculation with GGA-PBE was carried out for a relaxed K3Dy3RhO8 crystal.

Cell: 6.7624 6.7631 7.3929 Å, 117.23 89.99 120.00°
With the nearest neighbours (Å) after each atom.
Fractional positions:
Rh1 0.0000 0.0000 0.5000  6 O 2.11
Dy1 0.0000 0.5000 0.5000  6 O 2.27-2.31
Dy2 0.5000 0.5000 0.5000  6 O 2.27-2.31
Dy3 0.5000 0.0000 0.5000  6 O 2.27-2.31
K1 0.5000 0.5000 0.0000  6 O 2.78-2.79
K2 0.0000 0.5000 0.0000  6 O 2.78-2.79
K3 0.0000 0.0000 0.0000  6 O 2.78-2.79
O1 0.2495 0.0374 0.3253  1 Rh 2.11, 2 Dy 2.31
O2 0.7879 0.5757 0.3253  1 Rh 2.11, 2 Dy 2.31
O3 0.2121 0.4243 0.6747  1 Rh 2.11, 2 Dy 2.31
O4 0.2722 0.5445 0.3167  3 Dy 2.27
O5 0.7278 0.4555 0.6833  3 Dy 2.27
O6 0.2121 0.9626 0.6747  1 Rh 2.11, 2 Dy 2.31
O7 0.7505 0.9626 0.6747  1 Rh 2.11, 2 Dy 2.31
O8 0.7879 0.0374 0.3253  1 Rh 2.11, 2 Dy 2.31

## Properties
Formation energy without anion corrections   -2.34 eV per atom
Calculated volume   16.575 Å³ per atom

***

[4]
A plane-wave DFT calculation with GGA-PBE was carried out for a relaxed K2DyRhO4 crystal.

Cell: 3.3824 5.5873 6.5009 Å, 108.09 90.00 90.00°
With the nearest neighbours (Å) after each atom.
Fractional positions:
O1 0.0000 0.2594 0.8079  1 Rh 2.19, 2 Dy 2.28
O2 0.0000 0.7406 0.1921  1 Rh 2.19, 2 Dy 2.28
O3 0.5000 0.2055 0.1795  2 Rh 2.17, 1 Dy 2.29
O4 0.5000 0.7945 0.8205  2 Rh 2.17, 1 Dy 2.29
K1 0.5000 0.0000 0.5000  6 O 2.67-2.68
K2 0.0000 0.5000 0.5000  6 O 2.74-2.79
Rh1 0.0000 0.0000 0.0000  6 O 2.17-2.19
Dy1 0.5000 0.5000 0.0000  6 O 2.28-2.29

## Properties
Formation energy without anion corrections   -1.85 eV per atom
Calculated volume   14.598 Å³ per atom

***

[5]
A plane-wave DFT calculation with GGA-PBE was carried out for a relaxed K4Dy3RhO8 crystal.

Cell: 6.7978 7.3560 6.7976 Å, 117.51 120.00 90.00°
With the nearest neighbours (Å) after each atom.
Fractional positions:
Dy1 0.5000 0.5000 0.0000  6 O 2.28-2.31
Dy2 0.0000 0.5000 0.5000  6 O 2.28-2.31
Dy3 0.5000 0.5000 0.5000  6 O 2.28-2.31
K1 0.0000 0.0000 0.0000  6 O 2.74-2.77
K2 0.5000 0.0000 0.5000  6 O 2.74-2.77
K3 0.0000 0.0000 0.5000  6 O 2.74-2.77
K4 0.5000 0.0000 0.0000  6 O 2.81
O1 0.7766 0.3135 0.0369  1 Rh 2.23, 2 Dy 2.31
O2 0.2234 0.6865 0.9631  1 Rh 2.23, 2 Dy 2.31
O3 0.2234 0.6865 0.4468  1 Rh 2.23, 2 Dy 2.31
O4 0.7289 0.6867 0.4577  3 Dy 2.28
O5 0.7396 0.6865 0.9631  1 Rh 2.23, 2 Dy 2.31
O6 0.2711 0.3133 0.5423  3 Dy 2.28
O7 0.2604 0.3135 0.0369  1 Rh 2.23, 2 Dy 2.31
O8 0.7766 0.3135 0.5532  1 Rh 2.23, 2 Dy 2.31
Rh1 0.0000 0.5000 0.0000  6 O 2.23

## Properties
Formation energy without anion corrections   -2.28 eV per atom
Calculated volume   15.562 Å³ per atom

***

[6]
A plane-wave DFT calculation with GGA-PBE was carried out for a relaxed KDyRhO3 crystal.

Cell: 3.3835 7.5819 8.4525 Å, 100.99 90.00 90.00°
With the nearest neighbours (Å) after each atom.
Fractional positions:
O1 0.2500 0.5667 0.8805  3 Dy 2.26
O2 0.2500 0.1511 0.8319  1 Rh 2.07
O3 0.7500 0.4333 0.1195  3 Dy 2.26
O4 0.7500 0.2528 0.5676  2 Rh 2.02
O5 0.2500 0.7472 0.4324  2 Rh 2.02
O6 0.7500 0.8489 0.1681  1 Rh 2.07
Rh1 0.7500 0.8886 0.4176  3 O 2.02-2.07
Rh2 0.2500 0.1114 0.5824  3 O 2.02-2.07
K1 0.2500 0.1670 0.1888  5 O 2.78-3.00
K2 0.7500 0.8330 0.8112  5 O 2.78-3.00
Dy1 0.2500 0.6337 0.1527  6 O 2.26-2.36
Dy2 0.7500 0.3663 0.8473  6 O 2.26-2.36

## Properties
Formation energy without anion corrections   -1.82 eV per atom
Calculated volume   17.738 Å³ per atom

***

[7]
A plane-wave DFT calculation with GGA-PBE was carried out for a relaxed KDyRuO6 crystal.

Cell: 5.6103 5.6104 5.7983 Å, 90.00 90.00 60.00°
With the nearest neighbours (Å) after each atom.
Fractional positions:
O1 0.5939 0.3591 0.6882  1 Ru 1.89
O2 0.3590 0.0470 0.6882  1 Ru 1.89
O3 0.3590 0.5939 0.3117  1 Ru 1.89
O4 0.5939 0.0470 0.3117  1 Ru 1.89
O5 0.0470 0.3591 0.3117  1 Ru 1.89
O6 0.0470 0.5939 0.6882  1 Ru 1.89
Ru1 0.3333 0.3333 0.5000  6 O 1.89
Dy1 0.6666 0.6667 0.5000  6 O 2.25
K1 0.0000 0.0000 0.0000  6 O 2.82

## Properties
Formation energy without anion corrections   -1.51 eV per atom
Calculated volume   17.562 Å³ per atom

***

[8]
A plane-wave DFT calculation with GGA-PBE was carried out for a relaxed K3Dy3RuO8 crystal.

Cell: 6.7615 6.7621 7.3920 Å, 117.23 90.00 120.00°
With the nearest neighbours (Å) after each atom.
Fractional positions:
K1 0.5000 0.5000 0.0000  6 O 2.78
K2 0.0000 0.0000 0.0000  6 O 2.78
K3 0.0000 0.5000 0.0000  6 O 2.78
O1 0.2111 0.9627 0.6737  1 Ru 2.10, 2 Dy 2.31
O2 0.7887 0.5775 0.3262  1 Ru 2.10, 2 Dy 2.31
O3 0.2721 0.5443 0.3164  3 Dy 2.27
O4 0.7279 0.4557 0.6836  3 Dy 2.27
O5 0.7515 0.9627 0.6737  1 Ru 2.10, 2 Dy 2.31
O6 0.2485 0.0373 0.3263  1 Ru 2.10, 2 Dy 2.31
O7 0.7889 0.0373 0.3263  1 Ru 2.10, 2 Dy 2.31
O8 0.2113 0.4225 0.6738  1 Ru 2.10, 2 Dy 2.31
Ru1 0.0000 0.0000 0.5000  6 O 2.10
Dy1 0.0000 0.5000 0.5000  6 O 2.27-2.31
Dy2 0.5000 0.0000 0.5000  6 O 2.27-2.31
Dy3 0.5000 0.5000 0.5000  6 O 2.27-2.31

## Properties
Formation energy without anion corrections   -2.38 eV per atom
Calculated volume   16.569 Å³ per atom

***

[9]
A plane-wave DFT calculation with GGA-PBE was carried out for a relaxed KDyRu2O8 crystal.

Cell: 5.9507 5.9507 7.6593 Å, 90.00 90.00 120.00°
With the nearest neighbours (Å) after each atom.
Fractional positions:
Dy1 0.0000 0.0000 0.5000  6 O 2.25
O1 0.1589 0.3371 0.6858  1 Ru 1.81
O2 0.6667 0.3333 0.0060  1 Ru 1.75
O3 0.8218 0.1589 0.3142  1 Ru 1.81
O4 0.1782 0.8411 0.6858  1 Ru 1.81
O5 0.6629 0.8218 0.6858  1 Ru 1.81
O6 0.8411 0.6629 0.3142  1 Ru 1.81
O7 0.3371 0.1782 0.3142  1 Ru 1.81
O8 0.3333 0.6667 0.9940  1 Ru 1.75
Ru1 0.3333 0.6667 0.7656  4 O 1.75-1.81
Ru2 0.6667 0.3333 0.2344  4 O 1.75-1.81
K1 0.0000 0.0000 0.0000  6 O 2.97

## Properties
Formation energy without anion corrections   -1.49 eV per atom
Calculated volume   19.574 Å³ per atom

***

[10]
A plane-wave DFT calculation with GGA-PBE was carried out for a relaxed K4DyRu3O12 crystal.

Cell: 7.0082 7.0082 7.0082 Å, 109.47 109.47 109.47°
With the nearest neighbours (Å) after each atom.
Fractional positions:
K1 0.0000 0.0000 0.5000  12 O 2.86-2.87
K2 0.5000 0.0000 0.0000  12 O 2.86-2.87
K3 0.0000 0.5000 0.0000  12 O 2.86-2.87
K4 0.5000 0.5000 0.5000  12 O 2.86-2.87
O1 0.5000 0.7500 0.2500  2 Ru 2.02
O2 0.0000 0.2693 0.2693  1 Ru 1.87
O3 0.2500 0.5000 0.7500  2 Ru 2.02
O4 0.2693 0.0000 0.2693  1 Ru 1.87
O5 0.0000 0.7307 0.7307  1 Ru 1.87
O6 0.2500 0.7500 0.5000  2 Ru 2.02
O7 0.7500 0.5000 0.2500  2 Ru 2.02
O8 0.2693 0.2693 0.0000  1 Ru 1.87
O9 0.7307 0.7307 0.0000  1 Ru 1.87
O10 0.7307 0.0000 0.7307  1 Ru 1.87
O11 0.7500 0.2500 0.5000  2 Ru 2.02
O12 0.5000 0.2500 0.7500  2 Ru 2.02
Dy1 0.0000 0.0000 0.0000  6 O 2.18
Ru1 0.5000 0.0000 0.5000  6 O 1.87-2.02
Ru2 0.5000 0.5000 0.0000  6 O 1.87-2.02
Ru3 0.0000 0.5000 0.5000  6 O 1.87-2.02

## Properties
Formation energy without anion corrections   -1.41 eV per atom
Calculated volume   13.248 Å³ per atom

***

[11]
A plane-wave DFT calculation with GGA-PBE was carried out for a relaxed K2Dy2RuO6 crystal.

Cell: 5.7531 5.7531 6.5797 Å, 97.65 97.65 119.52°
With the nearest neighbours (Å) after each atom.
Fractional positions:
Ru1 0.0000 0.0000 0.5000  6 O 2.08-2.09
O1 0.7497 0.7497 0.6755  1 Ru 2.08, 2 Dy 2.28
O2 0.0481 0.3597 0.6723  1 Ru 2.09, 2 Dy 2.27-2.29
O3 0.9519 0.6403 0.3277  1 Ru 2.09, 2 Dy 2.27-2.29
O4 0.3597 0.0481 0.6723  1 Ru 2.09, 2 Dy 2.27-2.29
O5 0.2503 0.2503 0.3245  1 Ru 2.08, 2 Dy 2.28
O6 0.6403 0.9519 0.3277  1 Ru 2.09, 2 Dy 2.27-2.29
Dy1 0.6645 0.3355 0.5000  6 O 2.27-2.29
Dy2 0.3355 0.6645 0.5000  6 O 2.27-2.29
K1 0.1602 0.8398 0.0000  6 O 2.72-3.00
K2 0.8398 0.1602 0.0000  6 O 2.72-3.00

## Properties
Formation energy without anion corrections   -2.23 eV per atom
Calculated volume   16.615 Å³ per atom

***

[12]
A plane-wave DFT calculation with GGA-PBE was carried out for a relaxed K2Dy4S3O2 crystal.

Cell: 4.5471 4.5471 12.1944 Å, 100.75 100.75 90.00°
With the nearest neighbours (Å) after each atom.
Fractional positions:
S1 0.1531 0.1531 0.3062  4 Dy 2.94
S2 0.0000 0.0000 0.0000  8 Dy 2.86
S3 0.8469 0.8469 0.6938  4 Dy 2.94
K1 0.7027 0.7027 0.4055  1 O 2.59
K2 0.2973 0.2973 0.5945  1 O 2.59
O1 0.5926 0.5926 0.1852  4 Dy 2.32, 1 K 2.59
O2 0.4074 0.4074 0.8148  4 Dy 2.32, 1 K 2.59
Dy1 0.0736 0.5736 0.1473  2 O 2.32
Dy2 0.4264 0.9264 0.8527  2 O 2.32
Dy3 0.9264 0.4264 0.8527  2 O 2.32
Dy4 0.5736 0.0736 0.1473  2 O 2.32

## Properties
Formation energy without anion corrections   -1.86 eV per atom
Calculated volume   22.110 Å³ per atom

***

[13]
A plane-wave DFT calculation with GGA-PBE was carried out for a relaxed KDyS2O8 crystal.

Cell: 5.3487 5.3487 8.1326 Å, 90.00 90.00 120.00°
With the nearest neighbours (Å) after each atom.
Fractional positions:
S1 0.6667 0.3333 0.2627  4 O 1.45-1.50
S2 0.3333 0.6667 0.7373  4 O 1.45-1.50
Dy1 0.0000 0.0000 0.5000  6 O 2.24
O1 0.8738 0.6275 0.3285  1 S 1.50
O2 0.3333 0.6667 0.9162  1 S 1.45
O3 0.6275 0.7537 0.6715  1 S 1.50
O4 0.3725 0.2463 0.3285  1 S 1.50
O5 0.2463 0.8738 0.6715  1 S 1.50
O6 0.1262 0.3725 0.6715  1 S 1.50
O7 0.6667 0.3333 0.0838  1 S 1.45
O8 0.7537 0.1262 0.3285  1 S 1.50
K1 0.0000 0.0000 0.0000  12 O 3.16-3.20

## Properties
Formation energy without anion corrections   -2.09 eV per atom
Calculated volume   16.791 Å³ per atom

***

[14]
A plane-wave DFT calculation with GGA-PBE was carried out for a relaxed K3Dy3SbO8 crystal.

Cell: 6.8830 6.8842 7.4776 Å, 117.42 89.98 120.01°
With the nearest neighbours (Å) after each atom.
Fractional positions:
O1 0.2557 0.0400 0.3247  1 Sb 2.18, 2 Dy 2.33
O2 0.7843 0.5688 0.3246  1 Sb 2.18, 2 Dy 2.33
O3 0.7267 0.4533 0.6798  3 Dy 2.29
O4 0.2733 0.5467 0.3202  3 Dy 2.29
O5 0.7443 0.9600 0.6753  1 Sb 2.18, 2 Dy 2.33
O6 0.7843 0.0399 0.3246  1 Sb 2.18, 2 Dy 2.33
O7 0.2157 0.9601 0.6754  1 Sb 2.18, 2 Dy 2.33
O8 0.2157 0.4312 0.6754  1 Sb 2.18, 2 Dy 2.33
Dy1 0.5000 0.5000 0.5000  6 O 2.29-2.33
Dy2 0.0000 0.5000 0.5000  6 O 2.29-2.33
Dy3 0.5000 0.0000 0.5000  6 O 2.29-2.33
K1 0.0000 0.0000 0.0000  6 O 2.82-2.84
K2 0.5000 0.5000 0.0000  6 O 2.82-2.84
K3 0.0000 0.5000 0.0000  6 O 2.82-2.84
Sb1 0.0000 0.0000 0.5000  6 O 2.18

## Properties
Formation energy without anion corrections   -2.48 eV per atom
Calculated volume   17.324 Å³ per atom

***

[15]
A plane-wave DFT calculation with GGA-PBE was carried out for a relaxed K2Dy2SbO6 crystal.

Cell: 5.9247 5.9247 6.6609 Å, 98.03 98.03 119.82°
With the nearest neighbours (Å) after each atom.
Fractional positions:
O1 0.2572 0.2572 0.3252  1 Sb 2.16, 2 Dy 2.32
O2 0.6250 0.9510 0.3259  1 Sb 2.22, 2 Dy 2.28-2.32
O3 0.7428 0.7428 0.6748  1 Sb 2.16, 2 Dy 2.32
O4 0.0490 0.3750 0.6741  1 Sb 2.22, 2 Dy 2.28-2.32
O5 0.3750 0.0490 0.6741  1 Sb 2.22, 2 Dy 2.28-2.32
O6 0.9510 0.6250 0.3259  1 Sb 2.22, 2 Dy 2.28-2.32
Dy1 0.3347 0.6653 0.5000  6 O 2.28-2.32
Dy2 0.6653 0.3347 0.5000  6 O 2.28-2.32
K1 0.8363 0.1637 0.0000  6 O 2.80-2.95
K2 0.1637 0.8363 0.0000  6 O 2.80-2.95
Sb1 0.0000 0.0000 0.5000  6 O 2.16-2.22

## Properties
Formation energy without anion corrections   -2.35 eV per atom
Calculated volume   17.709 Å³ per atom

***

[16]
A plane-wave DFT calculation with GGA-PBE was carried out for a relaxed K2DySbO6 crystal.

Cell: 6.0159 6.0162 6.0185 Å, 60.00 59.98 89.99°
With the nearest neighbours (Å) after each atom.
Fractional positions:
O1 0.7348 0.7348 0.9999  1 Sb 2.00
O2 0.7348 0.7347 0.5306  1 Sb 2.00
O3 0.7348 0.2653 0.9999  1 Sb 2.00
O4 0.2652 0.7347 0.0001  1 Sb 2.00
O5 0.2652 0.2653 0.4694  1 Sb 2.00
O6 0.2652 0.2652 0.0001  1 Sb 2.00
Dy1 0.0000 0.0000 0.0000  6 O 2.26
Sb1 0.5000 0.5000 0.0000  6 O 2.00
K1 0.2500 0.7500 0.5000  12 O 3.01
K2 0.7500 0.2500 0.5000  12 O 3.01

## Properties
Formation energy without anion corrections   -1.84 eV per atom
Calculated volume   15.399 Å³ per atom

***

[17]
A plane-wave DFT calculation with GGA-PBE was carried out for a relaxed K3Dy2ScO6 crystal.

Cell: 5.9004 5.9004 6.5345 Å, 98.65 98.65 120.01°
With the nearest neighbours (Å) after each atom.
Fractional positions:
K1 0.8355 0.1645 0.5000  6 O 2.75-2.86
K2 0.1645 0.8355 0.5000  6 O 2.75-2.86
K3 0.5000 0.5000 0.5000  6 O 2.76-2.85
O1 0.2586 0.2586 0.8178  1 Sc 2.20, 2 Dy 2.31
O2 0.7414 0.7414 0.1822  1 Sc 2.20, 2 Dy 2.31
O3 0.9391 0.6197 0.8172  1 Sc 2.20, 2 Dy 2.31
O4 0.0609 0.3803 0.1828  1 Sc 2.20, 2 Dy 2.31
O5 0.3803 0.0609 0.1828  1 Sc 2.20, 2 Dy 2.31
O6 0.6197 0.9391 0.8172  1 Sc 2.20, 2 Dy 2.31
Sc1 0.0000 0.0000 0.0000  6 O 2.20
Dy1 0.3333 0.6667 0.0000  6 O 2.31
Dy2 0.6667 0.3333 0.0000  6 O 2.31

## Properties
Formation energy without anion corrections   -2.75 eV per atom
Calculated volume   15.657 Å³ per atom

***

[18]
A plane-wave DFT calculation with GGA-PBE was carried out for a relaxed K2DySeO6 crystal.

Cell: 5.7277 6.2698 6.2698 Å, 120.00 90.00 90.00°
With the nearest neighbours (Å) after each atom.
Fractional positions:
Dy1 0.5000 0.0000 0.0000  6 O 2.30
O1 0.1920 0.8646 0.7292  1 Se 1.84
O2 0.1920 0.8646 0.1354  1 Se 1.84
O3 0.8080 0.7292 0.8646  1 Se 1.84
O4 0.8080 0.1354 0.8646  1 Se 1.84
O5 0.1920 0.2708 0.1354  1 Se 1.84
O6 0.8080 0.1354 0.2708  1 Se 1.84
K1 0.9035 0.6667 0.3333  3 O 2.71
K2 0.0965 0.3333 0.6667  3 O 2.71
Se1 0.0000 0.0000 0.0000  6 O 1.84

## Properties
Formation energy without anion corrections   -1.54 eV per atom
Calculated volume   19.500 Å³ per atom

***

[19]
A plane-wave DFT calculation with GGA-PBE was carried out for a relaxed KDySe2O8 crystal.

Cell: 5.5251 5.5251 8.2906 Å, 90.00 90.00 120.00°
With the nearest neighbours (Å) after each atom.
Fractional positions:
Dy1 0.0000 0.0000 0.5000  6 O 2.25
O1 0.0914 0.3529 0.6701  1 Se 1.68
O2 0.7384 0.0914 0.3299  1 Se 1.68
O3 0.3529 0.2616 0.3299  1 Se 1.68
O4 0.9086 0.6471 0.3299  1 Se 1.68
O5 0.2616 0.9086 0.6701  1 Se 1.68
O6 0.6667 0.3333 0.0611  1 Se 1.64
O7 0.6471 0.7384 0.6701  1 Se 1.68
O8 0.3333 0.6667 0.9389  1 Se 1.64
K1 0.0000 0.0000 0.0000  12 O 3.23-3.25
Se1 0.3333 0.6667 0.7410  4 O 1.64-1.68
Se2 0.6667 0.3333 0.2590  4 O 1.64-1.68

## Properties
Formation energy without anion corrections   -1.54 eV per atom
Calculated volume   18.265 Å³ per atom